The following is a DFT calculation (PBE+U) of MnTe3O after structural relaxation.

Cell: 4.979 4.979 4.979 Å, 90.00 90.00 90.00°
Last column: magnetic moment on the atom in μB.
Sites, in units of the cell vectors:
1 Mn 0.000 0.000 0.000  0.60
2 O 0.500 0.500 0.500  0.93
3 Te 0.500 0.000 0.000  -0.03
4 Te 0.000 0.000 0.500  0.17
5 Te 0.000 0.500 0.000  0.05

The calculation puts the uncorrected energy at -14.98 eV per cell. The symmetry is No. 221. As for the calculated volume: 123 Å³ per cell. The calculation puts the spin magnetization at 2.01 μB per formula unit. The value obtained for the energy above the lowest structure with this stoichiometry is 1212.6 meV/atom.